Compound: YVSbI2
Source: Alexandria via LeMat-Bulk
Functional: PBE
Structure: optimized geometry

Cell and atoms, written as CIF:
```
data_YVSbI2
_chemical_formula_sum 'Y1 V1 Sb1 I2'
_cell_length_a 5.315
_cell_length_b 5.315
_cell_length_c 5.587
_cell_angle_alpha 90.00
_cell_angle_beta 90.00
_cell_angle_gamma 90.00
_symmetry_space_group_name_H-M 'P 1'
_symmetry_Int_Tables_number 1
_symmetry_space_group_name_Hall 'P 1'
loop_
_atom_site_label
_atom_site_fract_x
_atom_site_fract_y
_atom_site_fract_z
_atom_site_occupancy
Y1 0.000 0.000 0.000 1
V1 0.500 0.500 0.500 1
Sb1 0.500 0.500 0.000 1
I1 0.000 0.500 0.500 1
I2 0.500 0.000 0.500 1
```

Formation energy (no corrections), eV per atom: 0.04
Total DFT energy (no corrections), Ry per atom: -0.3324
Spin magnetization, μB per formula unit: 2.97

Compound: ErZnS3
Source: Alexandria via LeMat-Bulk
Functional: PBE
Structure: optimized geometry

Cell and atoms, written as CIF:
```
data_ErZnS3
_chemical_formula_sum 'Er2 Zn2 S6'
_cell_length_a 6.734
_cell_length_b 6.734
_cell_length_c 6.395
_cell_angle_alpha 90.00
_cell_angle_beta 90.00
_cell_angle_gamma 120.00
_symmetry_space_group_name_H-M 'P 1'
_symmetry_Int_Tables_number 1
_symmetry_space_group_name_Hall 'P 1'
loop_
_atom_site_label
_atom_site_fract_x
_atom_site_fract_y
_atom_site_fract_z
_atom_site_occupancy
Er1 0.333 0.667 0.000 1
Er2 0.667 0.333 0.000 1
Zn1 0.000 0.000 0.233 1
Zn2 0.000 0.000 0.767 1
S1 0.000 0.338 0.760 1
S2 0.000 0.662 0.240 1
S3 0.338 0.000 0.760 1
S4 0.338 0.338 0.240 1
S5 0.662 0.000 0.240 1
S6 0.662 0.662 0.760 1
```

Formation energy (no corrections), eV per atom: -0.99
Total DFT energy (no corrections), Ry per atom: -0.3402
Spin magnetization, μB per formula unit: 0.15

Compound: Pr3ZnTe2
Source: Alexandria via LeMat-Bulk
Functional: PBE
Structure: optimized geometry

Cell and atoms, written as CIF:
```
data_Pr3ZnTe2
_chemical_formula_sum 'Pr3 Zn1 Te2'
_cell_length_a 7.861
_cell_length_b 7.861
_cell_length_c 7.861
_cell_angle_alpha 147.75
_cell_angle_beta 132.43
_cell_angle_gamma 58.64
_symmetry_space_group_name_H-M 'P 1'
_symmetry_Int_Tables_number 1
_symmetry_space_group_name_Hall 'P 1'
loop_
_atom_site_label
_atom_site_fract_x
_atom_site_fract_y
_atom_site_fract_z
_atom_site_occupancy
Pr1 0.000 0.000 0.000 1
Pr2 0.339 0.339 0.000 1
Pr3 0.661 0.661 0.000 1
Zn1 0.500 0.000 0.500 1
Te1 0.170 0.670 0.500 1
Te2 0.830 0.330 0.500 1
```

Formation energy (no corrections), eV per atom: -1.05
Total DFT energy (no corrections), Ry per atom: -0.3454
Spin magnetization, μB per formula unit: 0.00